## MgTlRe (PBE)

Data for a relaxed MgTlRe crystal.

Output
Spin magnetization   0.00 μB/atom
Energy above the most stable polymorph in this dataset   0.8 meV per atom
Energy of formation from the pure elements   666 meV/atom
Calculated total energy   -14.4 eV/cell

Unit cell a=7.4103 b=7.2630 c=2.9235 alpha=81.35 beta=75.69 gamma=22.96
With the nearest neighbours (Å) after each atom.
Atoms (fractional coordinates):
Re: 0.3404 0.3404 0.6596  2 Mg 2.71, 4 Re 2.92, 2 Tl 2.95
Mg: 0.9855 0.9855 0.0145  2 Re 2.71, 4 Mg 2.92
Tl: 0.6741 0.6741 0.3259  4 Tl 2.92, 2 Re 2.95, 2 Mg 3.20



## TaTi2NbC4 (PBE)

Data for a relaxed TaTi2NbC4 crystal.

Output
Spin magnetization   0.00 μB/atom
Energy of formation from the pure elements   -710 meV/atom
Calculated total energy   -80.3 eV/cell

Unit cell a=3.1271 b=5.4215 c=5.4046 alpha=109.58 beta=90.00 gamma=90.00
With the nearest neighbours (Å) after each atom.
Atoms (fractional coordinates):
C: 0.0000 0.2465 0.7440  3 Ti 2.19-2.20, 1 Ta 2.22, 2 Nb 2.23
C: 0.0000 0.7535 0.2560  3 Ti 2.19-2.20, 1 Ta 2.22, 2 Nb 2.23
C: 0.5000 0.7503 0.7452  3 Ti 2.19-2.20, 2 Ta 2.22, 1 Nb 2.23
C: 0.5000 0.2497 0.2548  3 Ti 2.19-2.20, 2 Ta 2.22, 1 Nb 2.23
Nb: 0.5000 0.5000 0.0000  6 C 2.23
Ti: 0.5000 0.0000 0.5000  6 C 2.19
Ti: 0.0000 0.5000 0.5000  6 C 2.20
Ta: 0.0000 0.0000 0.0000  6 C 2.22



## AgSeSBr2 (PBE)

Data for a relaxed AgSeSBr2 crystal.

Output
Spin magnetization   0.00 μB/atom
Energy above the most stable polymorph in this dataset   0.0 meV per atom
Calculated total energy   -11.7 eV/cell

Unit cell a=5.0874 b=5.0874 c=5.0229 alpha=90.00 beta=90.00 gamma=90.00
With the nearest neighbours (Å) after each atom.
Atoms (fractional coordinates):
Br: 0.0000 0.5000 0.0000  2 S 2.54
Br: 0.5000 0.0000 0.0000  2 S 2.54
Ag: 0.5000 0.5000 0.5000  8 Br 3.57, 4 Se 3.60
Se: 0.0000 0.0000 0.5000  2 S 2.51
S: 0.0000 0.0000 0.0000  2 Se 2.51, 4 Br 2.54



## SrGa3Ag (PBE)

Data for a relaxed SrGa3Ag crystal.

Output
Spin magnetization   0.00 μB/atom
Energy of formation from the pure elements   1026 meV/atom
Calculated total energy   -8.5 eV/cell

Unit cell a=5.8162 b=5.8162 c=5.8162 alpha=90.00 beta=90.00 gamma=90.00
With the nearest neighbours (Å) after each atom.
Atoms (fractional coordinates):
Ga: 0.0000 0.0000 0.5000  2 Sr 2.91
Ga: 0.5000 0.0000 0.0000  2 Sr 2.91
Ga: 0.0000 0.5000 0.0000  2 Sr 2.91
Sr: 0.0000 0.0000 0.0000  6 Ga 2.91
Ag: 0.5000 0.5000 0.5000  12 Ga 4.11



## Cu3GeMo (PBE)

Data for a relaxed Cu3GeMo crystal.

Output
Spin magnetization   0.00 μB/atom
Energy above the most stable polymorph in this dataset   0.0 meV per atom
Energy of formation from the pure elements   1081 meV/atom
Calculated total energy   -22.3 eV/cell

Unit cell a=4.3464 b=4.3464 c=4.3464 alpha=90.00 beta=90.00 gamma=90.00
With the nearest neighbours (Å) after each atom.
Atoms (fractional coordinates):
Ge: 0.0000 0.0000 0.0000  6 Cu 2.17
Cu: 0.0000 0.0000 0.5000  2 Ge 2.17
Cu: 0.0000 0.5000 0.0000  2 Ge 2.17
Cu: 0.5000 0.0000 0.0000  2 Ge 2.17
Mo: 0.5000 0.5000 0.5000  12 Cu 3.07



## PrEr2IO8 (PBE)

Data for a relaxed PrEr2IO8 crystal.

Output
Spin magnetization   0.00 μB/atom
Calculated total energy   -82.8 eV/cell

Unit cell a=5.0320 b=5.0339 c=6.9524 alpha=90.00 beta=90.00 gamma=89.45
With the nearest neighbours (Å) after each atom.
Atoms (fractional coordinates):
O: 0.8155 0.1850 0.2006  1 I 1.91
O: 0.1845 0.8150 0.7994  1 I 1.91
O: 0.1845 0.8150 0.2006  1 I 1.91
O: 0.7326 0.7334 0.0000  1 I 1.91
O: 0.6803 0.6807 0.5000  2 Er 2.16, 1 Pr 2.28
O: 0.3197 0.3193 0.5000  2 Er 2.16, 1 Pr 2.28
O: 0.8155 0.1850 0.7994  1 I 1.91
O: 0.2674 0.2666 0.0000  1 I 1.91
I: 0.0000 0.0000 0.0000  6 O 1.91
Er: 0.5000 0.5000 0.7489  6 O 2.16-2.41
Er: 0.5000 0.5000 0.2511  6 O 2.16-2.41
Pr: 0.0000 0.0000 0.5000  6 O 2.28-2.46



## RbAcPbF6 (PBE)

Data for a relaxed RbAcPbF6 crystal.

Output
Spin magnetization   0.00 μB/atom
Calculated total energy   -96.9 eV/cell

Unit cell a=9.1862 b=8.7874 c=9.1533 alpha=118.69 beta=120.12 gamma=90.00
With the nearest neighbours (Å) after each atom.
Atoms (fractional coordinates):
F: 0.8186 0.6834 0.2813  1 Ac 2.41, 1 Pb 2.50
F: 0.8143 0.0643 0.6285  2 Ac 2.45
F: 0.1814 0.9020 0.7187  1 Ac 2.41, 1 Pb 2.50
F: 0.1814 0.3166 0.7187  1 Ac 2.41, 1 Pb 2.50
F: 0.5373 0.9020 0.7187  1 Ac 2.41, 1 Pb 2.50
F: 0.1857 0.9357 0.3715  2 Ac 2.45
F: 0.4627 0.0980 0.2813  1 Ac 2.41, 1 Pb 2.50
F: 0.5373 0.3166 0.7187  1 Ac 2.41, 1 Pb 2.50
F: 0.8186 0.0980 0.2813  1 Ac 2.41, 1 Pb 2.50
F: 0.5700 0.3200 0.1400  2 Pb 2.38, 1 Rb 2.60
F: 0.4627 0.6834 0.2813  1 Ac 2.41, 1 Pb 2.50
F: 0.4300 0.6800 0.8600  2 Pb 2.38, 1 Rb 2.60
Ac: 0.5000 0.0000 0.5000  6 F 2.41-2.45
Ac: 0.0000 0.0000 0.5000  6 F 2.41-2.45
Rb: 0.7673 0.5173 0.5346  1 F 2.60
Rb: 0.2327 0.4827 0.4654  1 F 2.60
Pb: 0.5000 0.5000 0.0000  6 F 2.38-2.50
Pb: 0.5000 0.0000 0.0000  6 F 2.38-2.50



## Er4AgTe (PBE)

Data for a relaxed Er4AgTe crystal.

Output
Spin magnetization   0.00 μB/atom
Calculated total energy   -51.7 eV/cell

Unit cell a=5.8544 b=7.8181 c=8.3034 alpha=90.00 beta=90.00 gamma=106.84
With the nearest neighbours (Å) after each atom.
Atoms (fractional coordinates):
Er: 0.5917 0.4845 0.7500  2 Ag 2.89-3.19
Er: 0.9919 0.2624 0.9491  2 Ag 2.98-2.99, 2 Te 3.05-3.08, 1 Er 3.31
Er: 0.4083 0.5155 0.2500  2 Ag 2.89-3.19
Er: 0.9919 0.2624 0.5509  2 Ag 2.98-2.99, 2 Te 3.05-3.08, 1 Er 3.31
Er: 0.4257 0.0124 0.7500  2 Te 2.98-3.06, 1 Ag 3.19
Er: 0.0081 0.7376 0.0509  2 Ag 2.98-2.99, 2 Te 3.05-3.08, 1 Er 3.31
Er: 0.5743 0.9876 0.2500  2 Te 2.98-3.06, 1 Ag 3.19
Er: 0.0081 0.7376 0.4491  2 Ag 2.98-2.99, 2 Te 3.05-3.08, 1 Er 3.31
Ag: 0.8385 0.4061 0.2500  7 Er 2.89-3.19
Ag: 0.1615 0.5939 0.7500  7 Er 2.89-3.19
Te: 0.1190 0.0851 0.2500  7 Er 2.98-3.30
Te: 0.8810 0.9149 0.7500  7 Er 2.98-3.30



> Which of these has the lowest calculated total energy?

RbAcPbF6



Repeat the first record exactly.
## MgTlRe (PBE)

Data for a relaxed MgTlRe crystal.

Output
Spin magnetization   0.00 μB/atom
Energy above the most stable polymorph in this dataset   0.8 meV per atom
Energy of formation from the pure elements   666 meV/atom
Calculated total energy   -14.4 eV/cell

Unit cell a=7.4103 b=7.2630 c=2.9235 alpha=81.35 beta=75.69 gamma=22.96
With the nearest neighbours (Å) after each atom.
Atoms (fractional coordinates):
Re: 0.3404 0.3404 0.6596  2 Mg 2.71, 4 Re 2.92, 2 Tl 2.95
Mg: 0.9855 0.9855 0.0145  2 Re 2.71, 4 Mg 2.92
Tl: 0.6741 0.6741 0.3259  4 Tl 2.92, 2 Re 2.95, 2 Mg 3.20